No. 1
Entry from Alexandria: an optimized crystal structure of Zn3Pd4Au2 (GGA-PBE).

Unit cell a=7.017 b=7.017 c=9.627 alpha=132.70 beta=132.70 gamma=23.97
Sites, in units of the cell vectors:
Zn (0.000, 0.000, 0.000)
Zn (0.334, 0.334, 0.288)
Zn (0.666, 0.666, 0.712)
Pd (0.034, 0.034, 0.389)
Pd (0.354, 0.354, 0.027)
Pd (0.646, 0.646, 0.973)
Pd (0.966, 0.966, 0.611)
Au (0.324, 0.324, 0.683)
Au (0.676, 0.676, 0.317)

DFT formation energy   -3.2 eV/f.u.

***

No. 2
Entry from Alexandria: an optimized crystal structure of Ba2NaCuIr (GGA-PBE).

Unit cell a=6.069 b=6.069 c=4.925 alpha=90.00 beta=90.00 gamma=90.00
Sites, in units of the cell vectors:
Ba (0.000, 0.500, 0.000)
Ba (0.500, 0.000, 0.000)
Na (0.000, 0.000, 0.500)
Cu (0.500, 0.500, 0.500)
Ir (0.500, 0.500, 0.000)

DFT formation energy   0.6 eV/f.u.

***

No. 3
Entry from Alexandria: an optimized crystal structure of La2Pm2NdHo2 (GGA-PBE).

Unit cell a=6.312 b=6.312 c=8.184 alpha=97.26 beta=97.26 gamma=48.16
Sites, in units of the cell vectors:
La (0.143, 0.143, 0.427)
La (0.857, 0.857, 0.573)
Pm (0.285, 0.285, 0.859)
Pm (0.715, 0.715, 0.141)
Nd (0.000, 0.000, 0.000)
Ho (0.429, 0.429, 0.285)
Ho (0.571, 0.571, 0.715)

DFT formation energy   0.2 eV/f.u.

***

No. 4
Entry from Alexandria: an optimized crystal structure of AcLaTh2N4 (GGA-PBE).

Unit cell a=6.451 b=3.733 c=6.518 alpha=90.00 beta=109.30 gamma=90.00
Sites, in units of the cell vectors:
Ac (0.000, 0.000, 0.000)
La (0.500, 0.500, 0.000)
Th (0.000, 0.500, 0.500)
Th (0.500, 0.000, 0.500)
N (0.243, 0.000, 0.721)
N (0.263, 0.500, 0.283)
N (0.737, 0.500, 0.717)
N (0.757, 0.000, 0.279)

Uncorrected formation energy   -1.43 eV per atom

***

No. 5
Entry from Alexandria: an optimized crystal structure of BaCeNi2As2 (GGA-PBE).

Unit cell a=4.183 b=4.183 c=8.567 alpha=90.00 beta=90.00 gamma=120.00
Sites, in units of the cell vectors:
Ba (0.000, 0.000, 0.000)
Ce (0.000, 0.000, 0.500)
Ni (0.333, 0.667, 0.707)
Ni (0.667, 0.333, 0.293)
As (0.333, 0.667, 0.279)
As (0.667, 0.333, 0.721)

DFT formation energy   -5.5 eV/f.u.

***

No. 6
Entry from Alexandria: an optimized crystal structure of K2LaSi (GGA-PBE).

Unit cell a=4.656 b=4.656 c=6.264 alpha=90.00 beta=90.00 gamma=90.00
Sites, in units of the cell vectors:
K (0.000, 0.500, 0.000)
K (0.500, 0.000, 0.000)
La (0.000, 0.000, 0.500)
Si (0.500, 0.500, 0.500)

Uncorrected formation energy   0.19 eV per atom

***

No. 7
Entry from Alexandria: an optimized crystal structure of Tm2InIr (GGA-PBE).

Unit cell a=8.399 b=8.399 c=8.399 alpha=26.55 beta=26.55 gamma=26.55
Sites, in units of the cell vectors:
Tm (0.232, 0.232, 0.232)
Tm (0.768, 0.768, 0.768)
In (0.000, 0.000, 0.000)
Ir (0.500, 0.500, 0.500)

Relative energy among the computed polymorphs   0.184 eV per atom
DFT formation energy   -2.1 eV/f.u.

***

No. 8
Entry from Alexandria: an optimized crystal structure of RePBr2 (GGA-PBE).

Unit cell a=3.197 b=3.197 c=9.497 alpha=90.00 beta=90.00 gamma=123.63
Sites, in units of the cell vectors:
Re (0.000, 0.000, 0.000)
P (0.000, 0.000, 0.500)
Br (0.500, 0.500, 0.216)
Br (0.500, 0.500, 0.784)

Relative energy among the computed polymorphs   1.050 eV per atom
Uncorrected formation energy   1.05 eV per atom

***

| no. | D(E_F) (states/eV/f.u.) |
| --- | --- |
| 1 | 3.25 |
| 2 | 5.10 |
| 3 | 11.65 |
| 4 | 3.50 |
| 5 | 3.15 |
| 6 | 1.85 |
| 7 | 2.31 |
| 8 | 4.13 |